[1]
Entry from Alexandria via LeMat-Bulk: a relaxed Cd2HgAu crystal (PBEsol).

Structure (CIF):
```
data_Cd2HgAu
_chemical_formula_sum 'Cd4 Hg2 Au2'
_cell_length_a 5.890
_cell_length_b 7.650
_cell_length_c 3.500
_cell_angle_alpha 90.00
_cell_angle_beta 90.00
_cell_angle_gamma 90.00
_symmetry_space_group_name_H-M 'C m m m'
_symmetry_Int_Tables_number 65
_symmetry_space_group_name_Hall '-C 2 2'
loop_
_atom_site_label
_atom_site_fract_x
_atom_site_fract_y
_atom_site_fract_z
_atom_site_occupancy
Cd1 0.250 0.250 0.000 1
Hg1 0.000 0.000 0.500 1
Au1 0.000 0.500 0.500 1
```

Calculated values
- Formation energy from the elements: -6 kJ/mol of atoms
- Energy: -1.781 eV/atom
- N(E_F): 0.2706 states/eV per atom
- V: 78.9 Å³/f.u.
- Total moment: 0.0 Bohr magnetons per cell


[2]
Entry from Alexandria via LeMat-Bulk: a relaxed CaY2Br crystal (PBEsol).

Structure (CIF):
```
data_CaY2Br
_chemical_formula_sum 'Ca2 Y4 Br2'
_cell_length_a 3.514
_cell_length_b 6.035
_cell_length_c 11.263
_cell_angle_alpha 90.00
_cell_angle_beta 90.00
_cell_angle_gamma 90.00
_symmetry_space_group_name_H-M 'I m m 2'
_symmetry_Int_Tables_number 44
_symmetry_space_group_name_Hall 'I 2 -2'
loop_
_atom_site_label
_atom_site_fract_x
_atom_site_fract_y
_atom_site_fract_z
_atom_site_occupancy
Ca1 0.000 0.000 0.000 1
Y1 0.000 0.000 0.430 1
Y2 0.000 0.500 0.198 1
Br1 0.000 0.500 0.720 1
```

Calculated values
- Energy: -4.788 eV/atom
- N(E_F): 0.8919 states/eV per atom
- Formation energy (no corrections): -376 meV/atom
- V: 119.4 Å³/f.u.
- Total moment: 0.0 Bohr magnetons per cell


[3]
Entry from Alexandria via LeMat-Bulk: a relaxed MgTaGe2Bi crystal (PBEsol).

Structure (CIF):
```
data_MgTaGe2Bi
_chemical_formula_sum 'Mg1 Ta1 Ge2 Bi1'
_cell_length_a 4.765
_cell_length_b 4.765
_cell_length_c 5.363
_cell_angle_alpha 90.00
_cell_angle_beta 90.00
_cell_angle_gamma 90.00
_symmetry_space_group_name_H-M 'P 4/m m m'
_symmetry_Int_Tables_number 123
_symmetry_space_group_name_Hall '-P 4 2'
loop_
_atom_site_label
_atom_site_fract_x
_atom_site_fract_y
_atom_site_fract_z
_atom_site_occupancy
Mg1 0.000 0.000 0.000 1
Ta1 0.500 0.500 0.500 1
Ge1 0.000 0.500 0.000 1
Bi1 0.000 0.000 0.500 1
```

Calculated values
- Formation energy from the elements: 130 kJ/mol of atoms
- Energy: -4.341 eV/atom
- N(E_F): 1.1910 states/eV per atom
- V: 121.8 Å³/f.u.
- Total moment: 2.0 Bohr magnetons per cell


[4]
Entry from Alexandria via LeMat-Bulk: a relaxed Zr2ScAl crystal (PBEsol).

Structure (CIF):
```
data_Zr2ScAl
_chemical_formula_sum 'Zr4 Sc2 Al2'
_cell_length_a 4.282
_cell_length_b 4.282
_cell_length_c 8.841
_cell_angle_alpha 90.00
_cell_angle_beta 90.00
_cell_angle_gamma 90.00
_symmetry_space_group_name_H-M 'I 4/m m m'
_symmetry_Int_Tables_number 139
_symmetry_space_group_name_Hall '-I 4 2'
loop_
_atom_site_label
_atom_site_fract_x
_atom_site_fract_y
_atom_site_fract_z
_atom_site_occupancy
Zr1 0.000 0.500 0.250 1
Sc1 0.000 0.000 0.000 1
Al1 0.000 0.000 0.500 1
```

Calculated values
- Formation energy from the elements: -26 kJ/mol of atoms
- Energy: -7.486 eV/atom
- N(E_F): 1.0780 states/eV per atom
- V: 81.1 Å³/f.u.
- Total moment: 0.0 Bohr magnetons per cell


[5]
Entry from Alexandria via LeMat-Bulk: a relaxed InOsBr2 crystal (PBEsol).

Structure (CIF):
```
data_InOsBr2
_chemical_formula_sum 'In3 Os3 Br6'
_cell_length_a 3.6022
_cell_length_b 3.6022
_cell_length_c 24.0654
_cell_angle_alpha 90.00
_cell_angle_beta 90.00
_cell_angle_gamma 120.00
_symmetry_space_group_name_H-M 'R 3 m'
_symmetry_Int_Tables_number 160
_symmetry_space_group_name_Hall 'R 3 -2"'
loop_
_atom_site_label
_atom_site_fract_x
_atom_site_fract_y
_atom_site_fract_z
_atom_site_occupancy
In1 0.0000 0.0000 0.0000 1
Os1 0.0000 0.0000 0.7444 1
Br1 0.0000 0.0000 0.2510 1
Br2 0.0000 0.0000 0.4627 1
```

Calculated values
- Energy: -4.458 eV/atom
- N(E_F): 0.5247 states/eV per atom
- Formation energy (no corrections): 276 meV/atom
- V: 90.1 Å³/f.u.
- Total moment: 0.0 Bohr magnetons per cell


[6]
Entry from Alexandria via LeMat-Bulk: a relaxed NaH2F crystal (PBEsol).

Structure (CIF):
```
data_NaH2F
_chemical_formula_sum 'Na4 H8 F4'
_cell_length_a 2.922
_cell_length_b 2.922
_cell_length_c 22.191
_cell_angle_alpha 90.00
_cell_angle_beta 90.00
_cell_angle_gamma 90.00
_symmetry_space_group_name_H-M 'I 41/a m d'
_symmetry_Int_Tables_number 141
loop_
_symmetry_equiv_pos_as_xyz
'x,y,z'
'-x,-y,-z'
'-y+1/4,x+3/4,z+1/4'
'y+1/4,-x+3/4,-z+1/4'
'-x+1/2,-y,z+1/2'
'x+1/2,y,-z+1/2'
'y+1/4,-x+1/4,z+3/4'
'-y+1/4,x+1/4,-z+3/4'
'x,-y,-z'
'-x,y,z'
'-y+1/4,-x+1/4,-z+3/4'
'y+1/4,x+1/4,z+3/4'
'-x+1/2,y,-z+1/2'
'x+1/2,-y,z+1/2'
'y+1/4,x+3/4,-z+1/4'
'-y+1/4,-x+3/4,z+1/4'
'x+1/2,y+1/2,z+1/2'
'-x+1/2,-y+1/2,-z+1/2'
'-y+3/4,x+1/4,z+3/4'
'y+3/4,-x+1/4,-z+3/4'
'-x,-y+1/2,z'
'x,y+1/2,-z'
'y+3/4,-x+3/4,z+1/4'
'-y+3/4,x+3/4,-z+1/4'
'x+1/2,-y+1/2,-z+1/2'
'-x+1/2,y+1/2,z+1/2'
'-y+3/4,-x+3/4,-z+1/4'
'y+3/4,x+3/4,z+1/4'
'-x,y+1/2,-z'
'x,-y+1/2,z'
'y+3/4,x+1/4,-z+3/4'
'-y+3/4,-x+1/4,z+3/4'
loop_
_atom_site_label
_atom_site_fract_x
_atom_site_fract_y
_atom_site_fract_z
_atom_site_occupancy
Na1 0.000 0.250 0.375 1
H1 0.000 0.000 0.000 1
F1 0.000 0.250 0.875 1
```

Calculated values
- Energy: -3.184 eV/atom
- N(E_F): 0.0489 states/eV per atom
- V: 47.4 Å³/f.u.
- Total moment: 0.0 Bohr magnetons per cell


[7]
Entry from Alexandria via LeMat-Bulk: a relaxed LaAgOs2 crystal (PBEsol).

Structure (CIF):
```
data_LaAgOs2
_chemical_formula_sum 'La1 Ag1 Os2'
_cell_length_a 3.452
_cell_length_b 3.452
_cell_length_c 6.351
_cell_angle_alpha 90.00
_cell_angle_beta 90.00
_cell_angle_gamma 90.00
_symmetry_space_group_name_H-M 'P 4/m m m'
_symmetry_Int_Tables_number 123
_symmetry_space_group_name_Hall '-P 4 2'
loop_
_atom_site_label
_atom_site_fract_x
_atom_site_fract_y
_atom_site_fract_z
_atom_site_occupancy
La1 0.000 0.000 0.000 1
Ag1 0.000 0.000 0.500 1
Os1 0.500 0.500 0.303 1
```

Calculated values
- Formation energy from the elements: 85 kJ/mol of atoms
- Energy: -7.391 eV/atom
- N(E_F): 1.6040 states/eV per atom
- V: 75.7 Å³/f.u.
- Total moment: 0.8 Bohr magnetons per cell


[8]
Entry from Alexandria via LeMat-Bulk: a relaxed TeHSeBr2 crystal (PBEsol).

Structure (CIF):
```
data_TeHSeBr2
_chemical_formula_sum 'Te1 H1 Se1 Br2'
_cell_length_a 5.564
_cell_length_b 5.564
_cell_length_c 5.218
_cell_angle_alpha 90.00
_cell_angle_beta 90.00
_cell_angle_gamma 90.00
_symmetry_space_group_name_H-M 'P 4/m m m'
_symmetry_Int_Tables_number 123
_symmetry_space_group_name_Hall '-P 4 2'
loop_
_atom_site_label
_atom_site_fract_x
_atom_site_fract_y
_atom_site_fract_z
_atom_site_occupancy
Te1 0.000 0.000 0.000 1
H1 0.500 0.500 0.500 1
Se1 0.000 0.000 0.500 1
Br1 0.000 0.500 0.000 1
```

Calculated values
- Energy: -2.375 eV/atom
- N(E_F): 0.1148 states/eV per atom
- V: 161.6 Å³/f.u.
- Total moment: 1.0 Bohr magnetons per cell